Density functional theory data (PBE) for an optimized crystal structure of GaRe2Si2.

Geometry as CIF:
```
data_GaRe2Si2
_symmetry_space_group_name_H-M 'P 1'
_symmetry_Int_Tables_number 1
_cell_length_a 6.884
_cell_length_b 6.884
_cell_length_c 3.116
_cell_angle_alpha 90.00
_cell_angle_beta 90.00
_cell_angle_gamma 90.00
loop_
_symmetry_equiv_pos_as_xyz
'x,y,z'
loop_
_atom_site_label
_atom_site_type_symbol
_atom_site_fract_x
_atom_site_fract_y
_atom_site_fract_z
Ga1 Ga 0.000 0.000 0.000
Ga2 Ga 0.500 0.500 0.000
Re1 Re 0.151 0.349 0.000
Re2 Re 0.349 0.849 0.000
Re3 Re 0.651 0.151 0.000
Re4 Re 0.849 0.651 0.000
Si1 Si 0.143 0.643 0.500
Si2 Si 0.357 0.143 0.500
Si3 Si 0.643 0.857 0.500
Si4 Si 0.857 0.357 0.500
```

Results
- Formation energy (no corrections): -2.33 kJ per mole of atoms

Density functional theory data (PBE) for an optimized crystal structure of Pr6AsP2Cl3.

Geometry as CIF:
```
data_Pr6AsP2Cl3
_symmetry_space_group_name_H-M 'P 1'
_symmetry_Int_Tables_number 1
_cell_length_a 9.508
_cell_length_b 9.508
_cell_length_c 8.523
_cell_angle_alpha 103.88
_cell_angle_beta 103.88
_cell_angle_gamma 25.56
loop_
_symmetry_equiv_pos_as_xyz
'x,y,z'
loop_
_atom_site_label
_atom_site_type_symbol
_atom_site_fract_x
_atom_site_fract_y
_atom_site_fract_z
Pr1 Pr 0.010 0.010 0.240
Pr2 Pr 0.325 0.325 0.437
Pr3 Pr 0.338 0.338 0.892
Pr4 Pr 0.662 0.662 0.108
Pr5 Pr 0.675 0.675 0.563
Pr6 Pr 0.990 0.990 0.760
As1 As 0.500 0.500 0.000
P1 P 0.168 0.168 0.335
P2 P 0.832 0.832 0.665
Cl1 Cl 0.166 0.166 0.833
Cl2 Cl 0.500 0.500 0.500
Cl3 Cl 0.834 0.834 0.167
```

Results
- Formation energy (no corrections): -153.35 kJ per mole of atoms

Density functional theory data (PBE) for an optimized crystal structure of Fe4PtSe.

Geometry as CIF:
```
data_Fe4PtSe
_symmetry_space_group_name_H-M 'P 1'
_symmetry_Int_Tables_number 1
_cell_length_a 4.919
_cell_length_b 4.919
_cell_length_c 4.919
_cell_angle_alpha 60.00
_cell_angle_beta 60.00
_cell_angle_gamma 60.00
loop_
_symmetry_equiv_pos_as_xyz
'x,y,z'
loop_
_atom_site_label
_atom_site_type_symbol
_atom_site_fract_x
_atom_site_fract_y
_atom_site_fract_z
Fe1 Fe 0.125 0.125 0.125
Fe2 Fe 0.125 0.125 0.624
Fe3 Fe 0.125 0.624 0.125
Fe4 Fe 0.624 0.125 0.125
Pt1 Pt 0.500 0.500 0.500
Se1 Se 0.750 0.750 0.750
```

Results
- Formation energy (no corrections): 25.23 kJ per mole of atoms

Density functional theory data (PBE) for an optimized crystal structure of Pd3BrO.

Geometry as CIF:
```
data_Pd3BrO
_symmetry_space_group_name_H-M 'P 1'
_symmetry_Int_Tables_number 1
_cell_length_a 4.338
_cell_length_b 4.338
_cell_length_c 4.338
_cell_angle_alpha 90.00
_cell_angle_beta 90.00
_cell_angle_gamma 90.00
loop_
_symmetry_equiv_pos_as_xyz
'x,y,z'
loop_
_atom_site_label
_atom_site_type_symbol
_atom_site_fract_x
_atom_site_fract_y
_atom_site_fract_z
Pd1 Pd 0.000 0.000 0.500
Pd2 Pd 0.000 0.500 0.000
Pd3 Pd 0.500 0.000 0.000
Br1 Br 0.500 0.500 0.500
O1 O 0.000 0.000 0.000
```

Results
- Formation energy (no corrections): 18.59 kJ per mole of atoms

Density functional theory data (PBE) for an optimized crystal structure of TmPaCo2.

Geometry as CIF:
```
data_TmPaCo2
_symmetry_space_group_name_H-M 'P 1'
_symmetry_Int_Tables_number 1
_cell_length_a 3.514
_cell_length_b 3.987
_cell_length_c 5.607
_cell_angle_alpha 90.00
_cell_angle_beta 108.16
_cell_angle_gamma 90.00
loop_
_symmetry_equiv_pos_as_xyz
'x,y,z'
loop_
_atom_site_label
_atom_site_type_symbol
_atom_site_fract_x
_atom_site_fract_y
_atom_site_fract_z
Tm1 Tm 0.000 0.000 0.000
Pa1 Pa 0.736 0.500 0.471
Co1 Co 0.263 0.000 0.525
Co2 Co 0.419 0.500 0.838
```

Results
- ΔH_f (0 K): -33.7 kJ/mol of atoms

Density functional theory data (PBE) for an optimized crystal structure of Ac2Tl3Cd.

Geometry as CIF:
```
data_Ac2Tl3Cd
_symmetry_space_group_name_H-M 'P 1'
_symmetry_Int_Tables_number 1
_cell_length_a 10.502
_cell_length_b 9.911
_cell_length_c 6.616
_cell_angle_alpha 76.01
_cell_angle_beta 66.31
_cell_angle_gamma 37.69
loop_
_symmetry_equiv_pos_as_xyz
'x,y,z'
loop_
_atom_site_label
_atom_site_type_symbol
_atom_site_fract_x
_atom_site_fract_y
_atom_site_fract_z
Ac1 Ac 0.249 0.751 0.751
Ac2 Ac 0.250 0.250 0.250
Ac3 Ac 0.750 0.750 0.750
Ac4 Ac 0.751 0.249 0.249
Tl1 Tl 0.169 0.169 0.831
Tl2 Tl 0.169 0.661 0.339
Tl3 Tl 0.339 0.831 0.169
Tl4 Tl 0.661 0.169 0.831
Tl5 Tl 0.831 0.339 0.661
Tl6 Tl 0.831 0.831 0.169
Cd1 Cd 0.334 0.334 0.666
Cd2 Cd 0.666 0.666 0.334
```

Results
- ΔH_f (0 K): -29.2 kJ/mol of atoms

Density functional theory data (PBE) for an optimized crystal structure of PIrBr2.

Geometry as CIF:
```
data_PIrBr2
_symmetry_space_group_name_H-M 'P 1'
_symmetry_Int_Tables_number 1
_cell_length_a 3.123
_cell_length_b 3.123
_cell_length_c 28.108
_cell_angle_alpha 90.00
_cell_angle_beta 90.00
_cell_angle_gamma 120.00
loop_
_symmetry_equiv_pos_as_xyz
'x,y,z'
loop_
_atom_site_label
_atom_site_type_symbol
_atom_site_fract_x
_atom_site_fract_y
_atom_site_fract_z
P1 P 0.000 0.000 0.000
P2 P 0.333 0.667 0.667
P3 P 0.667 0.333 0.333
Ir1 Ir 0.000 0.000 0.500
Ir2 Ir 0.333 0.667 0.167
Ir3 Ir 0.667 0.333 0.833
Br1 Br 0.000 0.000 0.415
Br2 Br 0.000 0.000 0.585
Br3 Br 0.333 0.667 0.081
Br4 Br 0.333 0.667 0.252
Br5 Br 0.667 0.333 0.748
Br6 Br 0.667 0.333 0.919
```

Results
- Formation energy (no corrections): 88.35 kJ per mole of atoms

Density functional theory data (PBE) for an optimized crystal structure of CaTeI3.

Geometry as CIF:
```
data_CaTeI3
_symmetry_space_group_name_H-M 'P 1'
_symmetry_Int_Tables_number 1
_cell_length_a 6.139
_cell_length_b 6.139
_cell_length_c 6.139
_cell_angle_alpha 90.00
_cell_angle_beta 90.00
_cell_angle_gamma 90.00
loop_
_symmetry_equiv_pos_as_xyz
'x,y,z'
loop_
_atom_site_label
_atom_site_type_symbol
_atom_site_fract_x
_atom_site_fract_y
_atom_site_fract_z
Ca1 Ca 0.000 0.000 0.000
Te1 Te 0.500 0.500 0.500
I1 I 0.000 0.000 0.500
I2 I 0.000 0.500 0.000
I3 I 0.500 0.000 0.000
```

Results
- Formation energy (no corrections): -46.94 kJ per mole of atoms